The following is a DFT calculation (PBE-GGA) of crystalline Ba3PaRh2O9 at its relaxed geometry.

a b c (Å): 5.894 5.894 7.341
angles (deg): 90.00 90.00 120.00
Positions (direct):
Ba 0.333 0.667 0.701
Ba 0.000 0.000 0.000
Ba 0.667 0.333 0.299
Pa 0.000 0.000 0.500
Rh 0.333 0.667 0.163
Rh 0.667 0.333 0.837
O 0.829 0.171 0.673
O 0.829 0.657 0.673
O 0.343 0.171 0.673
O 0.657 0.829 0.327
O 0.171 0.343 0.327
O 0.171 0.829 0.327
O 0.500 0.000 0.000
O 0.000 0.500 0.000
O 0.500 0.500 0.000

Properties
Spin magnetization = 1.106 Bohr magnetons per cell
Space-group type = P-3m1 (164)
Fermi-level density of states = 10.627 states/eV per cell
Formation energy without anion corrections = -2.25 eV/atom
Calculated density = 7.47 Mg/m³